No. 1
## Zn2Ga8Pd (GGA-PBE)

Data for a geometry-optimized Zn2Ga8Pd structure.

## Properties
Offset from the most stable computed form, meV per atom: 16

Cell lengths 10.766, 8.012, 4.913 Å; angles 90.00, 103.18, 90.00 degrees
Space group C2/m (No. 12)
Symmetry-distinct sites (fractional):
Zn: 0.124 0.000 0.040 x4
Ga: 0.064 0.284 0.286 x8
Ga: 0.129 0.500 0.818 x4
Ga: 0.245 0.000 0.615 x4
Pd: 0.000 0.000 0.500 x2


No. 2
## Zn7Ga2Pd2 (GGA-PBE)

Data for a geometry-optimized Zn7Ga2Pd2 structure.

Cell lengths 9.601, 8.769, 4.572 Å; angles 90.00, 116.62, 90.00 degrees
Space group C2/m (No. 12)
Symmetry-distinct sites (fractional):
Zn: 0.000 0.000 0.000 x2
Zn: 0.179 0.230 0.181 x8
Zn: 0.185 0.000 0.633 x4
Ga: 0.067 0.500 0.810 x4
Pd: 0.000 0.235 0.500 x4


No. 3
## Zn8Ga2Pd (GGA-PBE)

Data for a geometry-optimized Zn8Ga2Pd structure.

Cell lengths 15.247, 3.962, 6.029 Å; angles 90.00, 109.94, 90.00 degrees
Space group C2/m (No. 12)
Symmetry-distinct sites (fractional):
Zn: 0.038 0.000 0.236 x4
Zn: 0.087 0.500 0.963 x4
Zn: 0.134 0.000 0.689 x4
Zn: 0.173 0.500 0.420 x4
Ga: 0.217 0.000 0.148 x4
Pd: 0.000 0.500 0.500 x2


No. 4
## Zn6Ga12Pd (GGA-PBE)

Data for a geometry-optimized Zn6Ga12Pd structure.

Cell lengths 10.7133, 10.7133, 10.2129 Å; angles 90.00, 90.00, 120.00 degrees
Space group R-3 (No. 148, hexagonal axes)
Symmetry-distinct sites (fractional):
Zn: 0.0644 0.5940 0.2221 x18
Ga: 0.0473 0.8519 0.2838 x18
Ga: 0.0718 0.8597 0.9124 x18
Pd: 0.0000 0.0000 0.5000 x3


No. 5
## Zn2Ga8Pd (GGA-PBE)

Data for a geometry-optimized Zn2Ga8Pd structure.

## Properties
Offset from the most stable computed form, meV per atom: 0

Cell lengths 16.672, 4.305, 5.600 Å; angles 90.00, 99.98, 90.00 degrees
Space group C2/m (No. 12)
Symmetry-distinct sites (fractional):
Zn: 0.189 0.000 0.097 x4
Ga: 0.002 0.000 0.232 x4
Ga: 0.125 0.500 0.291 x4
Ga: 0.135 0.500 0.814 x4
Ga: 0.208 0.000 0.605 x4
Pd: 0.000 0.500 0.500 x2


No. 6
## Zn5GaPd8 (GGA-PBE)

Data for a geometry-optimized Zn5GaPd8 structure.

Cell lengths 7.473, 7.473, 7.752 Å; angles 90.00, 90.00, 90.00 degrees
Space group I-4 (No. 82)
Symmetry-distinct sites (fractional):
Zn: 0.000 0.000 0.000 x2
Zn: 0.120 0.727 0.657 x8
Ga: 0.000 0.500 0.250 x2
Pd: 0.072 0.824 0.335 x8
Pd: 0.081 0.678 0.985 x8


No. 7
## Zn2GaPd (GGA-PBE)

Data for a geometry-optimized Zn2GaPd structure.

Cell lengths 7.350, 7.350, 5.065 Å; angles 90.00, 90.00, 90.00 degrees
Space group I-42d (No. 122)
Symmetry-distinct sites (fractional):
Zn: 0.234 0.750 0.125 x8
Ga: 0.000 0.000 0.500 x4
Pd: 0.000 0.000 0.000 x4


No. 8
## Zn5Ga2Pd4 (GGA-PBE)

Data for a geometry-optimized Zn5Ga2Pd4 structure.

Cell lengths 7.120, 2.818, 8.838 Å; angles 90.00, 104.52, 90.00 degrees
Space group P2/m (No. 10)
Symmetry-distinct sites (fractional):
Zn: 0.000 0.000 0.000 x1
Zn: 0.143 0.000 0.345 x2
Zn: 0.327 0.000 0.887 x2
Ga: 0.467 0.000 0.632 x2
Pd: 0.162 0.500 0.630 x2
Pd: 0.311 0.500 0.139 x2


No. 9
## Zn3Ga6Pd (GGA-PBE)

Data for a geometry-optimized Zn3Ga6Pd structure.

Cell lengths 11.6277, 11.6277, 8.7782 Å; angles 90.00, 90.00, 120.00 degrees
Space group R-3 (No. 148, hexagonal axes)
Symmetry-distinct sites (fractional):
Zn: 0.9995 0.1368 0.2559 x18
Ga: 0.0383 0.7776 0.4222 x18
Ga: 0.0581 0.5125 0.6505 x18
Pd: 0.0000 0.0000 0.0000 x3
Pd: 0.0000 0.0000 0.5000 x3


No. 10
## ZnGaPd2 (GGA-PBE)

Data for a geometry-optimized ZnGaPd2 structure.

Cell lengths 3.145, 3.145, 5.946 Å; angles 90.00, 90.00, 90.00 degrees
Space group P4/mmm (No. 123)
Symmetry-distinct sites (fractional):
Zn: 0.000 0.000 0.000 x1
Ga: 0.000 0.000 0.500 x1
Pd: 0.500 0.500 0.255 x2


No. 11
## ZnGaPd (GGA-PBE)

Data for a geometry-optimized ZnGaPd structure.

Cell lengths 4.603, 8.431, 4.655 Å; angles 90.00, 90.00, 90.00 degrees
Space group Cmcm (No. 63)
Symmetry-distinct sites (fractional):
Zn: 0.000 0.080 0.250 x4
Ga: 0.000 0.408 0.250 x4
Pd: 0.000 0.249 0.750 x4


No. 12
## Zn6GaPd (GGA-PBE)

Data for a geometry-optimized Zn6GaPd structure.

Cell lengths 4.944, 4.978, 5.003 Å; angles 94.53, 95.02, 94.38 degrees
Space group P-1 (No. 2)
Symmetry-distinct sites (fractional):
Zn: 0.021 0.245 0.462 x2
Zn: 0.254 0.036 0.979 x2
Zn: 0.464 0.519 0.745 x2
Ga: 0.000 0.500 0.000 x1
Pd: 0.500 0.000 0.500 x1


No. 13
## Zn2GaPd2 (GGA-PBE)

Data for a geometry-optimized Zn2GaPd2 structure.

## Properties
Offset from the most stable computed form, meV per atom: 0

Cell lengths 6.639, 6.639, 3.617 Å; angles 90.00, 90.00, 90.00 degrees
Space group P4/mbm (No. 127)
Symmetry-distinct sites (fractional):
Zn: 0.144 0.356 0.000 x4
Ga: 0.000 0.000 0.500 x2
Pd: 0.155 0.655 0.500 x4


No. 14
## Zn2GaPd8 (GGA-PBE)

Data for a geometry-optimized Zn2GaPd8 structure.

## Properties
Offset from the most stable computed form, meV per atom: 44

Cell lengths 4.164, 6.979, 11.625 Å; angles 90.00, 90.00, 90.00 degrees
Space group Immm (No. 71)
Symmetry-distinct sites (fractional):
Zn: 0.000 0.000 0.196 x4
Ga: 0.000 0.000 0.500 x2
Pd: 0.000 0.190 0.000 x4
Pd: 0.000 0.279 0.344 x8
Pd: 0.000 0.500 0.143 x4


No. 15
## ZnGa4Pd (GGA-PBE)

Data for a geometry-optimized ZnGa4Pd structure.

## Properties
Offset from the most stable computed form, meV per atom: 89

Cell lengths 5.295, 6.110, 6.458 Å; angles 90.00, 90.00, 90.00 degrees
Space group P222 (No. 16)
Symmetry-distinct sites (fractional):
Zn: 0.000 0.000 0.000 x1
Zn: 0.500 0.500 0.000 x1
Ga: 0.184 0.318 0.760 x4
Ga: 0.271 0.158 0.340 x4
Pd: 0.500 0.000 0.000 x1
Pd: 0.500 0.500 0.500 x1


No. 16
## Zn8GaPd6 (GGA-PBE)

Data for a geometry-optimized Zn8GaPd6 structure.

Cell lengths 7.3947, 7.3947, 15.6818 Å; angles 90.00, 90.00, 120.00 degrees
Space group R-3 (No. 148, hexagonal axes)
Symmetry-distinct sites (fractional):
Zn: 0.0000 0.0000 0.1688 x6
Zn: 0.0012 0.3388 0.3805 x18
Ga: 0.0000 0.0000 0.5000 x3
Pd: 0.0017 0.3314 0.5508 x18


No. 17
## Zn3Ga2Pd3 (GGA-PBE)

Data for a geometry-optimized Zn3Ga2Pd3 structure.

## Properties
Offset from the most stable computed form, meV per atom: 0

Cell lengths 6.9115, 6.9115, 2.9323 Å; angles 90.00, 90.00, 120.00 degrees
Space group P-62m (No. 189)
Symmetry-distinct sites (fractional):
Zn: 0.0000 0.7678 0.0000 x3
Ga: 0.3333 0.6667 0.0000 x2
Pd: 0.0000 0.3778 0.5000 x3


No. 18
## ZnGaPd (GGA-PBE)

Data for a geometry-optimized ZnGaPd structure.

Cell lengths 3.506, 3.506, 4.949 Å; angles 90.00, 90.00, 90.00 degrees
Space group P4/mmm (No. 123)
Symmetry-distinct sites (fractional):
Zn: 0.000 0.000 0.000 x1
Ga: 0.000 0.000 0.500 x1
Pd: 0.500 0.500 0.000 x1


No. 19
## Zn2Ga3Pd4 (GGA-PBE)

Data for a geometry-optimized Zn2Ga3Pd4 structure.

Cell lengths 4.3653, 4.3653, 8.1917 Å; angles 90.00, 90.00, 120.00 degrees
Space group P-3m1 (No. 164)
Symmetry-distinct sites (fractional):
Zn: 0.3333 0.6667 0.2774 x2
Ga: 0.0000 0.0000 0.5000 x1
Ga: 0.3333 0.6667 0.9278 x2
Pd: 0.0000 0.0000 0.1768 x2
Pd: 0.3333 0.6667 0.6053 x2


No. 20
## ZnGa5Pd6 (GGA-PBE)

Data for a geometry-optimized ZnGa5Pd6 structure.

Cell lengths 4.335, 6.355, 6.833 Å; angles 90.00, 107.87, 90.00 degrees
Space group P2/m (No. 10)
Symmetry-distinct sites (fractional):
Zn: 0.000 0.000 0.000 x1
Ga: 0.000 0.500 0.000 x1
Ga: 0.333 0.500 0.666 x2
Ga: 0.336 0.000 0.674 x2
Pd: 0.168 0.250 0.336 x4
Pd: 0.500 0.255 0.000 x2


No. 21
## Zn2GaPd2 (GGA-PBE)

Data for a geometry-optimized Zn2GaPd2 structure.

## Properties
Offset from the most stable computed form, meV per atom: 122

Cell lengths 3.429, 3.429, 13.511 Å; angles 90.00, 90.00, 90.00 degrees
Space group I4/mmm (No. 139)
Symmetry-distinct sites (fractional):
Zn: 0.000 0.500 0.250 x4
Ga: 0.000 0.000 0.000 x2
Pd: 0.000 0.000 0.401 x4


| no. | energy of formation (meV/atom) | electronic total energy (eV/atom) |
| --- | --- | --- |
| 1 | -77 | -2.982 |
| 2 | -201 | -2.506 |
| 3 | -82 | -2.031 |
| 4 | -17 | -2.604 |
| 5 | -94 | -2.999 |
| 6 | -414 | -4.052 |
| 7 | -85 | -2.777 |
| 8 | -395 | -3.412 |
| 9 | -101 | -2.819 |
| 10 | -566 | -4.237 |
| 11 | -412 | -3.577 |
| 12 | -129 | -2.112 |
| 13 | -428 | -3.620 |
| 14 | -356 | -4.639 |
| 15 | -167 | -3.262 |
| 16 | -383 | -3.341 |
| 17 | -448 | -3.630 |
| 18 | 144 | -3.021 |
| 19 | -494 | -4.094 |
| 20 | -571 | -4.535 |
| 21 | -306 | -3.498 |